A plane-wave DFT calculation with GGA-PBE was carried out for an optimized crystal structure of MgReTe2.

The structure in POSCAR format:
```
MgReTe2
1.0
-2.160 -0.640 3.618
-0.123 -3.809 -0.747
4.811 -2.118 2.497
Mg Re Te
1 1 2
Direct
0.500 0.250 0.250
0.500 0.750 0.750
0.000 0.911 0.982
0.000 0.589 0.518
```

Summary:
magnetic moment: 0.000 μB per cell
D(E_F): 2.73 states/eV/f.u.
formation energy from raw total energies: 0.505 eV/atom